A relaxed DyNi4Pb crystal, computed with PBE.

Values from the calculation:
calculated volume: 90.9 Å³/f.u.
E: -32.96 eV per formula unit
magnetization: 0.00 Bohr magnetons per cell

Cell lengths 5.0461, 5.0461, 5.0461 Å; angles 60.00, 60.00, 60.00 degrees
Last column: nearest neighbours and their distance in Å.
Positions (direct):
1 Pb 0.0000 0.0000 0.0000  12 Ni 2.96, 4 Dy 3.09
2 Ni 0.6250 0.6250 0.1250  6 Ni 2.52
3 Ni 0.6250 0.1250 0.6250  6 Ni 2.52
4 Ni 0.6250 0.6250 0.6250  6 Ni 2.52
5 Ni 0.1250 0.6250 0.6250  6 Ni 2.52
6 Dy 0.2500 0.2500 0.2500  12 Ni 2.96, 4 Pb 3.09